# 1
## Cs2PaH2O6 (PBE-GGA)

Data for crystalline Cs2PaH2O6 at its relaxed geometry.

Values from the calculation:
The total energy comes out at -5.78 eV/atom.

a b c (Å): 5.4766 5.4766 7.0689
angles (deg): 90.00 90.00 120.00
Closest atoms and distances in Å follow each position.
Fractional positions:
1 Cs 0.3333 0.6667 0.3471  6 O 3.03
2 Cs 0.6667 0.3333 0.6529  6 O 3.03
3 Pa 0.0000 0.0000 0.0000  6 O 2.10
4 H 0.3333 0.6667 0.8470  3 O 1.42
5 H 0.6667 0.3333 0.1530  3 O 1.42
6 O 0.1844 0.3687 0.8358  1 H 1.42
7 O 0.1844 0.8156 0.8358  1 H 1.42
8 O 0.3687 0.1844 0.1642  1 H 1.42
9 O 0.6313 0.8156 0.8358  1 H 1.42
10 O 0.8156 0.1844 0.1642  1 H 1.42
11 O 0.8156 0.6313 0.1642  1 H 1.42

---

# 2
## Cs2PmH2O4 (PBE-GGA)

Data for crystalline Cs2PmH2O4 at its relaxed geometry.

Values from the calculation:
The total energy comes out at -5.28 eV/atom.

a b c (Å): 7.2926 7.2926 6.8693
angles (deg): 109.26 109.26 29.44
Closest atoms and distances in Å follow each position.
Fractional positions:
1 Cs 0.1448 0.1448 0.0898  7 O 3.05-3.37, 3 H 3.09-3.13
2 Cs 0.8552 0.8552 0.9102  7 O 3.05-3.37, 3 H 3.09-3.13
3 Pm 0.0000 0.0000 0.5000  6 O 2.37-2.44
4 H 0.2147 0.2147 0.5741  1 O 0.97
5 H 0.7853 0.7853 0.4259  1 O 0.97
6 O 0.1819 0.1819 0.6778  1 H 0.97
7 O 0.4871 0.4871 0.7038  2 Pm 2.37
8 O 0.5129 0.5129 0.2962  2 Pm 2.37
9 O 0.8181 0.8181 0.3222  1 H 0.97

---

# 3
## CsH2PtO (PBE-GGA)

Data for crystalline CsH2PtO at its relaxed geometry.

Values from the calculation:
The total energy comes out at -3.54 eV/atom.

a b c (Å): 3.5623 3.5623 7.4514
angles (deg): 90.00 90.00 90.00
Closest atoms and distances in Å follow each position.
Fractional positions:
1 Cs 0.0000 0.0000 0.0000  4 O 2.52
2 H 0.0000 0.5000 0.5000  2 Pt 1.78
3 H 0.5000 0.0000 0.5000  2 Pt 1.78
4 Pt 0.0000 0.0000 0.5000  4 H 1.78
5 O 0.5000 0.5000 0.0000  4 Cs 2.52

---

# 4
## CsHPt2S4O16 (PBE-GGA)

Data for crystalline CsHPt2S4O16 at its relaxed geometry.

Values from the calculation:
The total energy comes out at -5.84 eV/atom.

a b c (Å): 17.5897 9.1677 9.5805
angles (deg): 90.00 98.79 90.00
Closest atoms and distances in Å follow each position.
Fractional positions:
1 Cs 0.2353 0.0974 0.4956  5 O 3.02-3.34
2 Cs 0.2353 0.4026 0.9956  5 O 3.02-3.34
3 Cs 0.7647 0.5974 0.0044  5 O 3.02-3.34
4 Cs 0.7647 0.9026 0.5044  5 O 3.02-3.34
5 H 0.2547 0.5564 0.4725  1 O 1.09
6 H 0.2547 0.9436 0.9725  1 O 1.09
7 H 0.7453 0.0564 0.0275  1 O 1.09
8 H 0.7453 0.4436 0.5275  1 O 1.09
9 Pt 0.0046 0.1207 0.0625  5 O 2.03-2.19
10 Pt 0.0046 0.3793 0.5625  5 O 2.03-2.19
11 Pt 0.4892 0.0661 0.1103  5 O 2.04-2.21
12 Pt 0.4892 0.4339 0.6103  5 O 2.04-2.21
13 Pt 0.5108 0.5661 0.3897  5 O 2.04-2.21
14 Pt 0.5108 0.9339 0.8897  5 O 2.04-2.21
15 Pt 0.9954 0.6207 0.4375  5 O 2.03-2.19
16 Pt 0.9954 0.8793 0.9375  5 O 2.03-2.19
17 S 0.0725 0.1190 0.7775  4 O 1.44-1.54
18 S 0.0725 0.3810 0.2775  4 O 1.44-1.54
19 S 0.1490 0.5772 0.6361  4 O 1.44-1.55
20 S 0.1490 0.9228 0.1361  4 O 1.44-1.55
21 S 0.3652 0.6708 0.5097  4 O 1.43-1.54
22 S 0.3652 0.8292 0.0097  4 O 1.43-1.54
23 S 0.4142 0.2176 0.8294  4 O 1.44-1.54
24 S 0.4142 0.2824 0.3294  4 O 1.44-1.54
25 S 0.5858 0.7176 0.6706  4 O 1.44-1.54
26 S 0.5858 0.7824 0.1706  4 O 1.44-1.54
27 S 0.6348 0.1708 0.9903  4 O 1.43-1.54
28 S 0.6348 0.3292 0.4903  4 O 1.43-1.54
29 S 0.8510 0.0772 0.8639  4 O 1.44-1.55
30 S 0.8510 0.4228 0.3639  4 O 1.44-1.55
31 S 0.9275 0.6190 0.7225  4 O 1.44-1.54
32 S 0.9275 0.8810 0.2225  4 O 1.44-1.54
33 O 0.0073 0.1672 0.6687  1 S 1.49
34 O 0.0073 0.3328 0.1687  1 S 1.49
35 O 0.0610 0.5448 0.2964  1 S 1.53
36 O 0.0610 0.9552 0.7964  1 S 1.53
37 O 0.0693 0.1988 0.9183  1 S 1.54
38 O 0.0693 0.3012 0.4183  1 S 1.54
39 O 0.0932 0.6929 0.5626  1 S 1.54
40 O 0.0932 0.8071 0.0626  1 S 1.54
41 O 0.1002 0.0445 0.1906  1 S 1.55
42 O 0.1002 0.4555 0.6906  1 S 1.55
43 O 0.1476 0.1443 0.7396  1 S 1.44
44 O 0.1476 0.3557 0.2396  1 S 1.44
45 O 0.1929 0.5084 0.5338  1 H 1.38, 1 S 1.48
46 O 0.1929 0.9916 0.0338  1 H 1.38, 1 S 1.48
47 O 0.1953 0.6430 0.7567  1 S 1.44
48 O 0.1953 0.8570 0.2567  1 S 1.44
49 O 0.3042 0.5777 0.4204  1 H 1.09
50 O 0.3042 0.9223 0.9204  1 H 1.09
51 O 0.3344 0.6994 0.0620  1 S 1.43
52 O 0.3344 0.8006 0.5620  1 S 1.43
53 O 0.3380 0.2417 0.2636  1 S 1.44
54 O 0.3380 0.2583 0.7636  1 S 1.44
55 O 0.4033 0.5777 0.6343  1 S 1.54
56 O 0.4033 0.9223 0.1343  1 S 1.54
57 O 0.4141 0.2029 0.9896  1 S 1.54
58 O 0.4141 0.2971 0.4896  1 S 1.54
59 O 0.4232 0.7066 0.4123  1 S 1.52
60 O 0.4232 0.7934 0.9123  1 S 1.52
61 O 0.4337 0.0680 0.7710  1 S 1.54
62 O 0.4337 0.4320 0.2710  1 S 1.54
63 O 0.4753 0.1741 0.3113  1 S 1.49
64 O 0.4753 0.3259 0.8113  1 S 1.49
65 O 0.5247 0.6741 0.1887  1 S 1.49
66 O 0.5247 0.8259 0.6887  1 S 1.49
67 O 0.5663 0.5680 0.7290  1 S 1.54
68 O 0.5663 0.9320 0.2290  1 S 1.54
69 O 0.5768 0.2066 0.0877  1 S 1.52
70 O 0.5768 0.2934 0.5877  1 S 1.52
71 O 0.5859 0.7029 0.5104  1 S 1.54
72 O 0.5859 0.7971 0.0104  1 S 1.54
73 O 0.5967 0.0777 0.8657  1 S 1.54
74 O 0.5967 0.4223 0.3657  1 S 1.54
75 O 0.6620 0.7417 0.2364  1 S 1.44
76 O 0.6620 0.7583 0.7364  1 S 1.44
77 O 0.6656 0.1994 0.4380  1 S 1.43
78 O 0.6656 0.3006 0.9380  1 S 1.43
79 O 0.6958 0.0777 0.0796  1 H 1.09
80 O 0.6958 0.4223 0.5796  1 H 1.09
81 O 0.8047 0.1430 0.7433  1 S 1.44
82 O 0.8047 0.3570 0.2433  1 S 1.44
83 O 0.8071 0.0084 0.9662  1 H 1.38, 1 S 1.48
84 O 0.8071 0.4916 0.4662  1 H 1.38, 1 S 1.48
85 O 0.8524 0.6443 0.7604  1 S 1.44
86 O 0.8524 0.8557 0.2604  1 S 1.44
87 O 0.8998 0.5445 0.3094  1 S 1.55
88 O 0.8998 0.9555 0.8094  1 S 1.55
89 O 0.9068 0.1929 0.9374  1 S 1.54
90 O 0.9068 0.3071 0.4374  1 S 1.54
91 O 0.9307 0.6988 0.5817  1 S 1.54
92 O 0.9307 0.8012 0.0817  1 S 1.54
93 O 0.9390 0.0448 0.2036  1 S 1.53
94 O 0.9390 0.4552 0.7036  1 S 1.53
95 O 0.9927 0.6672 0.8313  1 S 1.49
96 O 0.9927 0.8328 0.3313  1 S 1.49